Entry 1:
DFT (PBE) results for crystalline CaZnAu at its relaxed geometry.

Calculated values
The calculation puts the formation enthalpy at 0 K at -13.6 kJ/mol of atoms.

a = 6.877 Å, b = 6.877 Å, c = 6.877 Å
α = 90.00°, β = 90.00°, γ = 90.00°
Space group F-43m (No. 216)
Inequivalent atoms, fractional coordinates:
1 Ca 0.000 0.000 0.000
2 Zn 0.250 0.250 0.750
3 Au 0.250 0.250 0.250


Entry 2:
DFT (PBE) results for crystalline Rb3Ac2InS6 at its relaxed geometry.

Calculated values
Its energy relative to the elements, uncorrected is -1.4879 eV/atom.

a = 7.439 Å, b = 12.894 Å, c = 8.162 Å
α = 90.00°, β = 107.75°, γ = 90.00°
Space group C2/m (No. 12)
Inequivalent atoms, fractional coordinates:
1 Rb 0.000 0.000 0.000
2 Rb 0.000 0.333 0.000
3 Ac 0.000 0.167 0.500
4 In 0.000 0.500 0.500
5 S 0.221 0.345 0.699
6 S 0.242 0.500 0.302


Entry 3:
DFT (PBE) results for crystalline GeIN2O at its relaxed geometry.

Calculated values
Its energy relative to the elements, uncorrected is 2.1267 eV/atom.

a = 4.152 Å, b = 4.152 Å, c = 4.373 Å
α = 90.00°, β = 90.00°, γ = 90.00°
Space group P4/mmm (No. 123)
Inequivalent atoms, fractional coordinates:
1 Ge 0.000 0.000 0.000
2 I 0.500 0.500 0.000
3 N 0.000 0.500 0.500
4 O 0.500 0.500 0.500